Record 1
First-principles (PBE) data for Dy2MgCdAu4 after structural relaxation, as listed in the Alexandria database.

The space group is R-3m (No. 166, hexagonal axes) and the conventional cell measures 4.9367, 4.9367 and 23.9188 Å, with angles of 90.00, 90.00 and 120.00 degrees. Symmetry generates all atoms from Dy at (0.0000, 0.0000, 0.2471), Mg at (0.0000, 0.0000, 0.0000), Cd at (0.0000, 0.0000, 0.5000), Au at (0.0000, 0.0000, 0.1197) and Au at (0.0000, 0.0000, 0.3716).

The value obtained for the formation energy is -0.734 eV per atom. For the density of states at the Fermi level, the calculation gives 15.3 states/eV per cell.


Record 2
First-principles (PBE) data for NaDy2CdAu4 after structural relaxation, as listed in the Alexandria database.

The space group is R-3m (No. 166, hexagonal axes) and the conventional cell measures 4.9730, 4.9730 and 24.1700 Å, with angles of 90.00, 90.00 and 120.00 degrees. Symmetry generates all atoms from Na at (0.0000, 0.0000, 0.0000), Dy at (0.0000, 0.0000, 0.2477), Cd at (0.0000, 0.0000, 0.5000), Au at (0.0000, 0.0000, 0.1240) and Au at (0.0000, 0.0000, 0.3740).

The value obtained for the formation energy is -0.630 eV per atom. For the density of states at the Fermi level, the calculation gives 17.9 states/eV per cell.


Record 3
First-principles (PBE) data for NaDyCdAu after structural relaxation, as listed in the Alexandria database.

The space group is F-43m (No. 216) and the conventional cell measures 7.195, 7.195 and 7.195 Å, with angles of 90.00, 90.00 and 90.00 degrees. Symmetry generates all atoms from Na at (0.000, 0.000, 0.000), Dy at (0.000, 0.000, 0.500), Cd at (0.250, 0.250, 0.250) and Au at (0.250, 0.250, 0.750).

The value obtained for the formation energy is -0.339 eV per atom. For the density of states at the Fermi level, the calculation gives 10.8 states/eV per cell.